Record 1
Material: TcAg4Pb
Method: DFT, GGA-PBEsol
State: optimized geometry

Unit cell a=5.4130 b=5.4130 c=5.4130 alpha=60.00 beta=60.00 gamma=60.00
Atoms (fractional coordinates):
Ag 0.3744 0.3744 0.3744
Ag 0.3744 0.3744 0.8768
Ag 0.8768 0.3744 0.3744
Ag 0.3744 0.8768 0.3744
Pb 0.7500 0.7500 0.7500
Tc 0.0000 0.0000 0.0000

---

Record 2
Material: AgTe2Pb
Method: DFT, GGA-PBEsol
State: optimized geometry

Unit cell a=3.2058 b=3.2058 c=10.2155 alpha=90.00 beta=90.00 gamma=90.00
Atoms (fractional coordinates):
Pb 0.5000 0.5000 0.7102
Te 0.0000 0.0000 0.9836
Te 0.5000 0.5000 0.3035
Ag 0.0000 0.0000 0.5028

---

| no. | raw total energy (eV per cell) |
| --- | --- |
| 1 | -24.86 |
| 2 | -13.93 |